(1)
GdY2Sb PBE-GGA optimized geometry; E_tot = -8.2787 eV per atom; E_form (uncorrected) = -47.8 kJ per mole of atoms; total magnetization = 8.64 μB/cell
1.0
-2.682 -2.919 -0.718
1.573 -2.183 2.999
-4.594 3.078 4.651
Y Sb Gd
2 1 1
Direct
0.000 0.000 0.724
0.000 0.000 0.276
0.500 0.500 0.500
0.500 0.500 0.000

---

(2)
GdY2Sb PBE-GGA optimized geometry; E_tot = -8.2804 eV per atom; E_form (uncorrected) = -48.0 kJ per mole of atoms; total magnetization = 7.89 μB/cell
1.0
-2.577 3.854 -0.873
-4.009 -2.346 1.474
0.770 1.547 4.556
Y Sb Gd
2 1 1
Direct
0.000 0.000 0.500
0.000 0.500 0.000
0.500 0.000 0.000
0.500 0.500 0.500

---

| no. | D(E_F) (states/eV/f.u.) |
| --- | --- |
| 1 | 5.145 |
| 2 | 4.732 |